No. 1
VASP calculation (GGA-PBE) on an optimized crystal structure of SmEr2Pu3Se6.

* uncorrected formation energy: -1.6614 eV per atom
* space group: C2/m (12)
* calculated density: 9.511 g/cm3

Cell lengths 9.221, 9.221, 8.266 Å; angles 103.64, 103.64, 25.65 degrees
Sites, in units of the cell vectors:
Sm 0.000 0.000 0.000
Er 0.334 0.334 0.668
Er 0.666 0.666 0.332
Pu 0.000 0.000 0.500
Pu 0.335 0.335 0.167
Pu 0.665 0.665 0.833
Se 0.168 0.168 0.090
Se 0.169 0.169 0.578
Se 0.497 0.497 0.746
Se 0.503 0.503 0.254
Se 0.831 0.831 0.422
Se 0.832 0.832 0.910



No. 2
VASP calculation (GGA-PBE) on an optimized crystal structure of Sm2ErPu3Se6.

* uncorrected formation energy: -1.6780 eV per atom
* space group: C2/m (12)
* calculated density: 9.262 g/cm3

Cell lengths 9.266, 9.266, 8.302 Å; angles 103.46, 103.46, 25.69 degrees
Sites, in units of the cell vectors:
Sm 0.167 0.167 0.335
Sm 0.833 0.833 0.665
Er 0.500 0.500 0.000
Pu 0.168 0.168 0.834
Pu 0.500 0.500 0.500
Pu 0.832 0.832 0.166
Se 0.001 0.001 0.757
Se 0.334 0.334 0.414
Se 0.336 0.336 0.920
Se 0.664 0.664 0.080
Se 0.666 0.666 0.586
Se 0.999 0.999 0.243



No. 3
VASP calculation (GGA-PBE) on an optimized crystal structure of SmEr2PuSe4.

* uncorrected formation energy: -1.7098 eV per atom
* space group: P2/m (10)
* calculated density: 8.921 g/cm3

Cell lengths 7.092, 4.071, 7.126 Å; angles 90.00, 109.08, 90.00 degrees
Sites, in units of the cell vectors:
Sm 0.000 0.000 0.000
Er 0.000 0.500 0.500
Er 0.500 0.000 0.500
Pu 0.500 0.500 0.000
Se 0.248 0.000 0.740
Se 0.255 0.500 0.261
Se 0.745 0.500 0.739
Se 0.752 0.000 0.260



No. 4
VASP calculation (GGA-PBE) on an optimized crystal structure of Sm4ErPu3Se8.

* uncorrected formation energy: -1.7163 eV per atom
* space group: R-3m (166)
* calculated density: 8.802 g/cm3

Cell lengths 8.306, 8.306, 8.306 Å; angles 59.68, 59.68, 59.68 degrees
Sites, in units of the cell vectors:
Sm 0.000 0.000 0.000
Sm 0.000 0.500 0.500
Sm 0.500 0.000 0.500
Sm 0.500 0.500 0.000
Er 0.500 0.500 0.500
Pu 0.000 0.000 0.500
Pu 0.000 0.500 0.000
Pu 0.500 0.000 0.000
Se 0.249 0.249 0.249
Se 0.252 0.746 0.746
Se 0.254 0.254 0.748
Se 0.254 0.748 0.254
Se 0.746 0.252 0.746
Se 0.746 0.746 0.252
Se 0.748 0.254 0.254
Se 0.751 0.751 0.751



No. 5
VASP calculation (GGA-PBE) on an optimized crystal structure of SrErPu2Se4.

* uncorrected formation energy: -1.6674 eV per atom
* space group: P2/m (10)
* calculated density: 8.454 g/cm3

Cell lengths 7.256, 4.173, 7.275 Å; angles 90.00, 109.22, 90.00 degrees
Sites, in units of the cell vectors:
Sr 0.000 0.000 0.000
Er 0.000 0.500 0.500
Pu 0.500 0.000 0.500
Pu 0.500 0.500 0.000
Se 0.247 0.000 0.739
Se 0.255 0.500 0.263
Se 0.745 0.500 0.737
Se 0.753 0.000 0.261



No. 6
VASP calculation (GGA-PBE) on an optimized crystal structure of SrEr2PuSe4.

* uncorrected formation energy: -1.7064 eV per atom
* space group: I-4m2 (119)
* calculated density: 8.041 g/cm3

Cell lengths 5.874, 5.874, 11.753 Å; angles 90.00, 90.00, 90.00 degrees
Sites, in units of the cell vectors:
Sr 0.000 0.000 0.000
Sr 0.500 0.500 0.500
Er 0.000 0.000 0.500
Er 0.000 0.500 0.250
Er 0.500 0.000 0.750
Er 0.500 0.500 0.000
Pu 0.000 0.500 0.750
Pu 0.500 0.000 0.250
Se 0.000 0.000 0.258
Se 0.000 0.000 0.742
Se 0.000 0.500 0.004
Se 0.000 0.500 0.496
Se 0.500 0.000 0.504
Se 0.500 0.000 0.996
Se 0.500 0.500 0.242
Se 0.500 0.500 0.758